{"formula": "MnCrNi2Ge", "functional": "GGA-PBE", "state": "relaxed", "lattice_angstrom": [[-0.0785, 4.0139, 1.5996], [-0.1872, -1.5007, 3.7566], [4.3162, -0.0011, 0.2147]], "species": ["Mn", "Ni", "Ni", "Cr", "Ge"], "fractional_positions": [[0.0000, 0.0000, 0.0000], [0.5000, 0.0000, 0.0000], [0.0000, 0.0000, 0.5000], [0.0000, 0.5000, 0.0000], [0.5000, 0.5000, 0.5000]], "m_tot_mub_per_fu": 0.00, "final_energy_ev_per_cell": -29.9, "ef_ev_per_atom": 1.0101}